Ba2PtAuN | GGA-PBE | optimized geometry

Properties
Crystal system   tetragonal
Energy relative to the elements, uncorrected   -0.650 eV/atom
Total energy   -4.95 eV/atom
D(E_F)   0.554 states/eV per atom

abc: 5.8275 5.8275 3.8732
angles: 90.00 90.00 90.00
Space group P4/mmm (No. 123)
One atom of each set of equivalent atoms:
Ba 0.0000 0.5000 0.0000 (multiplicity 2)
Pt 0.0000 0.0000 0.5000 (multiplicity 1)
Au 0.5000 0.5000 0.5000 (multiplicity 1)
N 0.0000 0.0000 0.0000 (multiplicity 1)